# KSbPbSe2 PBE relaxed
data_KSbPbSe2
_chemical_formula_sum 'K1 Sb1 Pb1 Se2'
_cell_length_a 5.530
_cell_length_b 5.530
_cell_length_c 6.000
_cell_angle_alpha 90.00
_cell_angle_beta 90.00
_cell_angle_gamma 90.00
_symmetry_space_group_name_H-M 'P 4/m m m'
_symmetry_Int_Tables_number 123
_symmetry_space_group_name_Hall '-P 4 2'
loop_
_atom_site_label
_atom_site_fract_x
_atom_site_fract_y
_atom_site_fract_z
_atom_site_occupancy
K1 0.000 0.000 0.000 1
Sb1 0.000 0.000 0.500 1
Pb1 0.500 0.500 0.000 1
Se1 0.000 0.500 0.500 1
# DOS(E_F), states/eV per atom: 0.60
# E_tot, eV/atom: -2.968
# Total moment, Bohr magnetons per cell: 0.0
# Uncorrected formation energy, eV per atom: 0.211